## LiY2HRh (PBE)

Data for a relaxed structure of LiY2HRh.

Summary:
Polymorph energy (0 for the lowest one)   0.0829 eV per atom
E   -5.54 eV/atom

Lattice parameters (Å, degrees): 4.9623 4.9623 3.6521 90.00 90.00 90.00
With the nearest neighbours (Å) after each atom.
Space group P4/mmm (No. 123)
One atom of each set of equivalent atoms:
Li (0.0000, 0.0000, 0.0000) [1 per cell]  8 Y 3.08
Y (0.0000, 0.5000, 0.5000) [2 per cell]  2 H 2.48
H (0.5000, 0.5000, 0.5000) [1 per cell]  2 Rh 1.83
Rh (0.5000, 0.5000, 0.0000) [1 per cell]  2 H 1.83

***

## Li2ZnH6Rh (PBE)

Data for a relaxed structure of Li2ZnH6Rh.

Summary:
E   -3.49 eV/atom

Lattice parameters (Å, degrees): 4.8577 4.8717 4.8861 119.81 119.67 90.19
With the nearest neighbours (Å) after each atom.
Space group P-1 (No. 2)
One atom of each set of equivalent atoms:
Li (0.2490, 0.2496, 0.4978) [2 per cell]  7 H 2.18-2.43
Zn (0.0000, 0.5000, 0.0000) [1 per cell]  6 H 1.78-1.84
H (0.2029, 0.8187, 0.0016) [2 per cell]  1 Rh 1.69, 1 Zn 1.83
H (0.2574, 0.7523, 0.5129) [2 per cell]  1 Rh 1.69, 1 Zn 1.78
H (0.3163, 0.2928, 0.9953) [2 per cell]  1 Rh 1.69, 1 Zn 1.84
Rh (0.5000, 0.0000, 0.0000) [1 per cell]  6 H 1.69

***

## Li2ZnHRh (PBE)

Data for a relaxed structure of Li2ZnHRh.

Summary:
Polymorph energy (0 for the lowest one)   0.0000 eV per atom
E   -3.51 eV/atom

Lattice parameters (Å, degrees): 3.8037 3.8037 3.7939 90.00 90.00 90.00
With the nearest neighbours (Å) after each atom.
Space group P4/mmm (No. 123)
One atom of each set of equivalent atoms:
Li (0.0000, 0.5000, 0.0000) [2 per cell]  2 H 1.90
Zn (0.0000, 0.0000, 0.5000) [1 per cell]  8 Li 2.69, 4 Rh 2.69
H (0.5000, 0.5000, 0.0000) [1 per cell]  2 Rh 1.90, 4 Li 1.90
Rh (0.5000, 0.5000, 0.5000) [1 per cell]  2 H 1.90

***

## LiZnHRh2 (PBE)

Data for a relaxed structure of LiZnHRh2.

Summary:
Polymorph energy (0 for the lowest one)   0.0000 eV per atom
E   -4.52 eV/atom

Lattice parameters (Å, degrees): 3.9236 3.9236 3.5895 90.00 90.00 90.00
With the nearest neighbours (Å) after each atom.
Space group P4/mmm (No. 123)
One atom of each set of equivalent atoms:
Li (0.0000, 0.0000, 0.0000) [1 per cell]  2 H 1.79
Zn (0.5000, 0.5000, 0.0000) [1 per cell]  8 Rh 2.66, 4 Li 2.77
H (0.0000, 0.0000, 0.5000) [1 per cell]  2 Li 1.79, 4 Rh 1.96
Rh (0.0000, 0.5000, 0.5000) [2 per cell]  2 H 1.96

***

## Li2ZnH4Rh2 (PBE)

Data for a relaxed structure of Li2ZnH4Rh2.

Summary:
E   -3.92 eV/atom

Lattice parameters (Å, degrees): 13.5197 2.9126 4.6588 90.00 96.61 90.00
With the nearest neighbours (Å) after each atom.
Space group C2/m (No. 12)
One atom of each set of equivalent atoms:
Li (0.1455, 0.0000, 0.4920) [4 per cell]  3 H 1.95-2.08
Zn (0.0000, 0.0000, 0.0000) [2 per cell]  4 H 2.31
H (0.0679, 0.5000, 0.6918) [4 per cell]  1 Rh 1.64
H (0.2147, 0.0000, 0.1484) [4 per cell]  3 Rh 1.82-1.87, 1 Li 1.95
Rh (0.1566, 0.5000, 0.9635) [4 per cell]  3 H 1.64-1.82

***

## Li2ZnHRh (PBE)

Data for a relaxed structure of Li2ZnHRh.

Summary:
Polymorph energy (0 for the lowest one)   0.2105 eV per atom
E   -3.30 eV/atom

Lattice parameters (Å, degrees): 3.6947 3.6947 4.0679 90.00 90.00 90.00
With the nearest neighbours (Å) after each atom.
Space group P4/mmm (No. 123)
One atom of each set of equivalent atoms:
Li (0.0000, 0.5000, 0.0000) [2 per cell]  2 H 1.85
Zn (0.0000, 0.0000, 0.5000) [1 per cell]  2 H 2.03
H (0.0000, 0.0000, 0.0000) [1 per cell]  4 Li 1.85, 2 Zn 2.03
Rh (0.5000, 0.5000, 0.5000) [1 per cell]  4 Zn 2.61, 8 Li 2.75

***

> What is the E in the third record?

-3.51 eV/atom

***

> Which of these has the highest E?

number 6

***

What did the third record say?
## Li2ZnHRh (PBE)

Data for a relaxed structure of Li2ZnHRh.

Summary:
Polymorph energy (0 for the lowest one)   0.0000 eV per atom
E   -3.51 eV/atom

Lattice parameters (Å, degrees): 3.8037 3.8037 3.7939 90.00 90.00 90.00
With the nearest neighbours (Å) after each atom.
Space group P4/mmm (No. 123)
One atom of each set of equivalent atoms:
Li (0.0000, 0.5000, 0.0000) [2 per cell]  2 H 1.90
Zn (0.0000, 0.0000, 0.5000) [1 per cell]  8 Li 2.69, 4 Rh 2.69
H (0.5000, 0.5000, 0.0000) [1 per cell]  2 Rh 1.90, 4 Li 1.90
Rh (0.5000, 0.5000, 0.5000) [1 per cell]  2 H 1.90